DFT (GGA-PBE) results for a relaxed Rb3Ni2Br9 crystal.

Cell: 10.0073 10.0073 10.0073 Å, 76.50 76.50 76.50°
Closest atoms and distances in Å follow each position.
Sites, in units of the cell vectors:
Rb (0.4114, 0.7500, 0.0886)  8 Br 3.54-3.65
Rb (0.2500, 0.9114, 0.5886)  8 Br 3.54-3.65
Rb (0.9114, 0.5886, 0.2500)  8 Br 3.54-3.65
Rb (0.0886, 0.4114, 0.7500)  8 Br 3.54-3.65
Rb (0.7500, 0.0886, 0.4114)  8 Br 3.54-3.65
Rb (0.5886, 0.2500, 0.9114)  8 Br 3.54-3.65
Ni (0.1735, 0.1735, 0.1735)  6 Br 2.45-2.52
Ni (0.6735, 0.6735, 0.6735)  6 Br 2.45-2.52
Ni (0.8265, 0.8265, 0.8265)  6 Br 2.45-2.52
Ni (0.3265, 0.3265, 0.3265)  6 Br 2.45-2.52
Br (0.7268, 0.8885, 0.0568)  1 Ni 2.45
Br (0.1115, 0.9432, 0.2732)  1 Ni 2.45
Br (0.2500, 0.4064, 0.0936)  2 Ni 2.52
Br (0.6115, 0.7732, 0.4432)  1 Ni 2.45
Br (0.5936, 0.9064, 0.7500)  2 Ni 2.52
Br (0.9064, 0.7500, 0.5936)  2 Ni 2.52
Br (0.2268, 0.5568, 0.3885)  1 Ni 2.45
Br (0.5568, 0.3885, 0.2268)  1 Ni 2.45
Br (0.9432, 0.2732, 0.1115)  1 Ni 2.45
Br (0.0568, 0.7268, 0.8885)  1 Ni 2.45
Br (0.4432, 0.6115, 0.7732)  1 Ni 2.45
Br (0.4064, 0.0936, 0.2500)  2 Ni 2.52
Br (0.7732, 0.4432, 0.6115)  1 Ni 2.45
Br (0.0936, 0.2500, 0.4064)  2 Ni 2.52
Br (0.3885, 0.2268, 0.5568)  1 Ni 2.45
Br (0.7500, 0.5936, 0.9064)  2 Ni 2.52
Br (0.8885, 0.0568, 0.7268)  1 Ni 2.45
Br (0.2732, 0.1115, 0.9432)  1 Ni 2.45

Values from the calculation:
- crystal system = trigonal
- energy relative to the elements, uncorrected (eV per atom) = -0.894
- M_tot (μB per cell) = 4.039
- volume (Å³/cell) = 930.5

DFT (GGA-PBE) results for a relaxed RbNiBr crystal.

Cell: 10.6808 8.8387 4.9445 Å, 90.00 90.00 90.00°
Closest atoms and distances in Å follow each position.
Sites, in units of the cell vectors:
Ni (0.5000, 0.2500, 0.4203)  2 Br 2.24
Ni (0.0000, 0.7500, 0.9203)  2 Br 2.24
Ni (0.5000, 0.7500, 0.5797)  2 Br 2.24
Ni (0.0000, 0.2500, 0.0797)  2 Br 2.24
Br (0.0000, 0.0000, 0.0000)  2 Ni 2.24
Br (0.5000, 0.5000, 0.5000)  2 Ni 2.24
Br (0.5000, 0.0000, 0.5000)  2 Ni 2.24
Br (0.0000, 0.5000, 0.0000)  2 Ni 2.24
Rb (0.7503, 0.2500, 0.7490)  2 Ni 3.13
Rb (0.7497, 0.7500, 0.2490)  2 Ni 3.13
Rb (0.2497, 0.7500, 0.2510)  2 Ni 3.13
Rb (0.2503, 0.2500, 0.7510)  2 Ni 3.13

Values from the calculation:
- crystal system = orthorhombic
- energy relative to the elements, uncorrected (eV per atom) = -0.140
- ΔE to the lowest computed polymorph (eV/atom) = 0.288
- M_tot (μB per cell) = 0.005
- volume (Å³/cell) = 466.8

DFT (GGA-PBE) results for a relaxed RbNiBr crystal.

Cell: 4.9084 4.9084 9.5541 Å, 90.00 90.00 90.00°
Closest atoms and distances in Å follow each position.
Sites, in units of the cell vectors:
Ni (0.0000, 0.5000, 0.5442)  4 Br 2.49
Ni (0.5000, 0.0000, 0.4558)  4 Br 2.49
Br (0.0000, 0.0000, 0.5000)  4 Ni 2.49
Br (0.5000, 0.5000, 0.5000)  4 Ni 2.49
Rb (0.0000, 0.5000, 0.2050)  1 Ni 3.24
Rb (0.5000, 0.0000, 0.7950)  1 Ni 3.24

Values from the calculation:
- crystal system = tetragonal
- energy relative to the elements, uncorrected (eV per atom) = -0.003
- ΔE to the lowest computed polymorph (eV/atom) = 0.426
- M_tot (μB per cell) = 0.000
- volume (Å³/cell) = 230.2

DFT (GGA-PBE) results for a relaxed RbNiBr2 crystal.

Cell: 7.8000 7.8000 6.7488 Å, 54.70 54.70 90.00°
Closest atoms and distances in Å follow each position.
Sites, in units of the cell vectors:
Ni (0.5000, 0.5000, 0.0000)  4 Br 2.44
Ni (0.2500, 0.7500, 0.5000)  4 Br 2.44
Br (0.5171, 0.1250, 0.2500)  2 Ni 2.44
Br (0.2329, 0.6250, 0.2500)  2 Ni 2.44
Br (0.3750, 0.4829, 0.7500)  2 Ni 2.44
Br (0.8750, 0.7671, 0.7500)  2 Ni 2.44
Rb (0.0000, 0.0000, 0.0000)  8 Br 3.54-3.68, 2 Ni 3.89
Rb (0.7500, 0.2500, 0.5000)  8 Br 3.54-3.68, 2 Ni 3.89

Values from the calculation:
- crystal system = tetragonal
- energy relative to the elements, uncorrected (eV per atom) = -0.779
- ΔE to the lowest computed polymorph (eV/atom) = 0.000
- M_tot (μB per cell) = 2.000
- volume (Å³/cell) = 236.6

What is the formula in the fourth record? RbNiBr2